# 1
Compound: Cs3TmAg2F9
Source: Alexandria
Functional: PBE-GGA
Structure: optimized geometry

Structure (POSCAR):
```
Cs3TmAg2F9
1.0
6.4797 0.0000 0.0000
-3.2398 5.6116 0.0000
0.0000 0.0000 8.0164
Cs Tm Ag F
3 1 2 9
Cartesian
0.0000 0.0000 0.0000
0.0000 3.7410 5.5151
3.2398 1.8705 2.5013
0.0000 0.0000 4.0082
0.0000 3.7410 1.3275
3.2398 1.8705 6.6888
-1.6199 2.8058 0.0000
0.0000 1.7590 2.7703
-1.7165 4.7321 2.7703
1.5233 0.8795 5.2461
3.2398 0.0000 0.0000
1.6199 2.8058 0.0000
1.7165 4.7321 2.7703
4.9563 0.8795 5.2461
3.2398 3.8526 5.2461
```

## Properties
ΔE_f (raw) (eV/atom): -2.6236
Space-group type: P-3m1
DOS(E_F) (states/eV/f.u.): 2.77

=====

# 2
Compound: CsUAgF6
Source: Alexandria
Functional: PBE-GGA
Structure: optimized geometry

Structure (POSCAR):
```
CsUAgF6
1.0
3.1452 -5.5921 0.0000
3.1452 5.5921 0.0000
-0.0688 0.0000 6.2288
Cs U Ag F
1 1 1 6
Cartesian
0.0000 0.0000 0.0000
3.1108 1.9005 3.1144
3.1108 -1.7801 3.1144
1.3199 1.9944 1.8841
2.0971 3.4278 4.3361
2.2979 0.2708 4.3486
4.1246 3.4278 1.8927
3.9238 0.2708 1.8802
4.9018 1.9944 4.3447
```

## Properties
ΔE_f (raw) (eV/atom): -2.8815
Space-group type: C2
DOS(E_F) (states/eV/f.u.): 5.60